[1]
# As2OsCl | the Alexandria database | PBE-GGA | optimized geometry
# Calculated volume: 145.31 Å³ per cell
# Uncorrected formation energy: 0.579 eV per atom
# DFT total energy: -40.12 eV per cell
# Density of states at the Fermi level: 6.19 states/eV/cell
# Distance to the lowest polymorph of the same formula: 603.1 meV/atom
data_As2OsCl
_chemical_formula_sum 'As4 Os2 Cl2'
_space_group_name_H-M_alt 'C m m 2'
_space_group_IT_number 35
_space_group_name_Hall 'C 2 -2'
_cell_length_a 3.0221
_cell_length_b 5.2830
_cell_length_c 9.1013
_cell_angle_alpha 90.00
_cell_angle_beta 90.00
_cell_angle_gamma 90.00
loop_
_atom_site_label
_atom_site_type_symbol
_atom_site_fract_x
_atom_site_fract_y
_atom_site_fract_z
As1 As 0.0000 0.0000 0.0000
As2 As 0.0000 0.5000 0.2940
Os1 Os 0.0000 0.5000 0.7916
Cl1 Cl 0.0000 0.0000 0.5651


[2]
# As2OsCl | the Alexandria database | PBE-GGA | optimized geometry
# Calculated volume: 136.79 Å³ per cell
# Uncorrected formation energy: 0.830 eV per atom
# DFT total energy: -38.11 eV per cell
# Density of states at the Fermi level: 8.58 states/eV/cell
# Distance to the lowest polymorph of the same formula: 854.5 meV/atom
data_As2OsCl
_chemical_formula_sum 'As4 Os2 Cl2'
_space_group_name_H-M_alt 'C m m m'
_space_group_IT_number 65
_space_group_name_Hall '-C 2 2'
_cell_length_a 5.1695
_cell_length_b 8.4029
_cell_length_c 3.1490
_cell_angle_alpha 90.00
_cell_angle_beta 90.00
_cell_angle_gamma 90.00
loop_
_atom_site_label
_atom_site_type_symbol
_atom_site_fract_x
_atom_site_fract_y
_atom_site_fract_z
As1 As 0.2500 0.2500 0.0000
Os1 Os 0.0000 0.0000 0.5000
Cl1 Cl 0.0000 0.5000 0.5000


[3]
# As2OsCl | the Alexandria database | PBE-GGA | optimized geometry
# Calculated volume: 221.64 Å³ per cell
# Uncorrected formation energy: 0.109 eV per atom
# DFT total energy: -65.82 eV per cell
# Density of states at the Fermi level: 8.31 states/eV/cell
# Distance to the lowest polymorph of the same formula: 133.1 meV/atom
data_As2OsCl
_chemical_formula_sum 'As6 Os3 Cl3'
_space_group_name_H-M_alt 'R -3 m'
_space_group_IT_number 166
_space_group_name_Hall '-R 3 2"'
_cell_length_a 3.2929
_cell_length_b 3.2929
_cell_length_c 23.6019
_cell_angle_alpha 90.00
_cell_angle_beta 90.00
_cell_angle_gamma 120.00
loop_
_atom_site_label
_atom_site_type_symbol
_atom_site_fract_x
_atom_site_fract_y
_atom_site_fract_z
As1 As 0.0000 0.0000 0.2396
Os1 Os 0.0000 0.0000 0.5000
Cl1 Cl 0.0000 0.0000 0.0000


[4]
# AsOsCl3 | the Alexandria database | PBE-GGA | optimized geometry
# Calculated volume: 132.01 Å³ per cell
# Uncorrected formation energy: 1.114 eV per atom
# DFT total energy: -15.85 eV per cell
# Density of states at the Fermi level: 17.09 states/eV/cell
# Distance to the lowest polymorph of the same formula: 470.2 meV/atom
data_AsOsCl3
_chemical_formula_sum 'As1 Os1 Cl3'
_space_group_name_H-M_alt 'P m -3 m'
_space_group_IT_number 221
_space_group_name_Hall '-P 4 2 3'
_cell_length_a 5.0918
_cell_length_b 5.0918
_cell_length_c 5.0918
_cell_angle_alpha 90.00
_cell_angle_beta 90.00
_cell_angle_gamma 90.00
loop_
_atom_site_label
_atom_site_type_symbol
_atom_site_fract_x
_atom_site_fract_y
_atom_site_fract_z
As1 As 0.0000 0.0000 0.0000
Os1 Os 0.5000 0.5000 0.5000
Cl1 Cl 0.0000 0.0000 0.5000


[5]
# As2OsCl | the Alexandria database | PBE-GGA | optimized geometry
# Calculated volume: 71.68 Å³ per cell
# Uncorrected formation energy: 0.106 eV per atom
# DFT total energy: -21.95 eV per cell
# Density of states at the Fermi level: 1.01 states/eV/cell
# Distance to the lowest polymorph of the same formula: 129.7 meV/atom
data_As2OsCl
_chemical_formula_sum 'As2 Os1 Cl1'
_space_group_name_H-M_alt 'P 4/m m m'
_space_group_IT_number 123
_space_group_name_Hall '-P 4 2'
_cell_length_a 3.0772
_cell_length_b 3.0772
_cell_length_c 7.5700
_cell_angle_alpha 90.00
_cell_angle_beta 90.00
_cell_angle_gamma 90.00
loop_
_atom_site_label
_atom_site_type_symbol
_atom_site_fract_x
_atom_site_fract_y
_atom_site_fract_z
As1 As 0.0000 0.0000 0.2064
Os1 Os 0.5000 0.5000 0.0000
Cl1 Cl 0.5000 0.5000 0.5000


[6]
# As2OsCl | the Alexandria database | PBE-GGA | optimized geometry
# Calculated volume: 147.98 Å³ per cell
# Uncorrected formation energy: 0.501 eV per atom
# DFT total energy: -40.74 eV per cell
# Density of states at the Fermi level: 4.39 states/eV/cell
# Distance to the lowest polymorph of the same formula: 525.4 meV/atom
data_As2OsCl
_chemical_formula_sum 'As4 Os2 Cl2'
_space_group_name_H-M_alt 'I m m m'
_space_group_IT_number 71
_space_group_name_Hall '-I 2 2'
_cell_length_a 2.9385
_cell_length_b 4.5584
_cell_length_c 11.0476
_cell_angle_alpha 90.00
_cell_angle_beta 90.00
_cell_angle_gamma 90.00
loop_
_atom_site_label
_atom_site_type_symbol
_atom_site_fract_x
_atom_site_fract_y
_atom_site_fract_z
As1 As 0.0000 0.0000 0.1905
Os1 Os 0.0000 0.5000 0.5000
Cl1 Cl 0.0000 0.5000 0.0000


Question: What is the uncorrected formation energy in the third record?
Answer: 0.109 eV per atom


Question: Number 6 is which compound?
Answer: As2OsCl


Question: Number 5 is which compound?
Answer: As2OsCl